# AgSnMoRh2 SCAN single point on PBEsol structure
# **Density**: 8.02 g/cm3
# **V**: 21.9 Å³ per atom
# **ΔH_f (0 K)**: 1.45 eV/atom
# **Symmetry**: P4/mmm (123)
# **D(E_F)**: 2.86 states/eV/f.u.
# **Final energy**: -162.5 eV for the cell shown
data_AgSnMoRh2
_chemical_formula_sum 'Ag1 Sn1 Mo1 Rh2'
_symmetry_space_group_name_H-M 'P 1'
_symmetry_Int_Tables_number 1
_symmetry_space_group_name_Hall 'P 1'
_cell_length_a 4.7509
_cell_length_b 4.7509
_cell_length_c 4.8459
_cell_angle_alpha 90.00
_cell_angle_beta 90.00
_cell_angle_gamma 90.00
loop_
_atom_site_label
_atom_site_type_symbol
_atom_site_fract_x
_atom_site_fract_y
_atom_site_fract_z
_atom_site_occupancy
Mo1 Mo 0.5000 0.5000 0.5000 1
Rh1 Rh 0.0000 0.5000 0.0000 1
Rh2 Rh 0.5000 0.0000 0.0000 1
Sn1 Sn 0.0000 0.0000 0.0000 1
Ag1 Ag 0.0000 0.0000 0.5000 1